DFT (PBE) results for a relaxed structure of LiAgIr2Se4.

Summary:
DFT total energy, eV per atom: -4.662
Calculated density, Mg/m³: 7.2

The structure in POSCAR format:
```
LiAgIr2Se4
1.0
6.111 0.000 0.000
0.000 6.111 0.000
0.000 0.000 10.080
Li Ag Ir Se
2 2 4 8
Direct
0.000 0.000 0.000
0.500 0.500 0.500
0.000 0.500 0.750
0.500 0.000 0.250
0.000 0.000 0.500
0.000 0.500 0.250
0.500 0.000 0.750
0.500 0.500 0.000
0.218 0.745 0.378
0.245 0.282 0.122
0.255 0.218 0.622
0.282 0.755 0.878
0.718 0.245 0.878
0.745 0.782 0.622
0.755 0.718 0.122
0.782 0.255 0.378
```

DFT (PBE) results for a relaxed structure of ScInNiSe3.

Summary:
DFT total energy, eV per atom: -5.014
Calculated density, Mg/m³: 5.4

The structure in POSCAR format:
```
ScInNiSe3
1.0
8.059 0.000 0.000
0.000 3.790 0.000
-3.560 0.000 9.191
Sc In Ni Se
2 2 2 6
Direct
0.197 0.250 0.154
0.803 0.750 0.846
0.231 0.750 0.711
0.769 0.250 0.289
0.414 0.750 0.399
0.586 0.250 0.601
0.056 0.250 0.861
0.278 0.250 0.457
0.438 0.750 0.165
0.562 0.250 0.835
0.722 0.750 0.543
0.944 0.750 0.139
```

DFT (PBE) results for a relaxed structure of Li4ZnIr2Pb.

Summary:
DFT total energy, eV per atom: -3.986
Calculated density, Mg/m³: 9.6

The structure in POSCAR format:
```
Li4ZnIr2Pb
1.0
4.365 0.000 0.000
0.000 4.365 0.000
0.000 0.000 6.213
Li Zn Ir Pb
4 1 2 1
Direct
0.000 0.000 0.000
0.000 0.500 0.724
0.500 0.000 0.276
0.500 0.500 0.500
0.000 0.000 0.500
0.000 0.500 0.269
0.500 0.000 0.731
0.500 0.500 0.000
```

DFT (PBE) results for a relaxed structure of PrSmZn2Pb2.

Summary:
DFT total energy, eV per atom: -3.703
Calculated density, Mg/m³: 8.9

The structure in POSCAR format:
```
PrSmZn2Pb2
1.0
4.670 0.000 0.000
-2.335 4.045 0.000
0.000 0.000 16.487
Pr Sm Zn Pb
2 2 4 4
Direct
0.000 0.000 0.250
0.000 0.000 0.750
0.000 0.000 0.000
0.000 0.000 0.500
0.333 0.667 0.161
0.333 0.667 0.339
0.667 0.333 0.661
0.667 0.333 0.839
0.333 0.667 0.610
0.333 0.667 0.890
0.667 0.333 0.110
0.667 0.333 0.390
```

DFT (PBE) results for a relaxed structure of DyHoNb2Ge2.

Summary:
DFT total energy, eV per atom: -7.078
Calculated density, Mg/m³: 8.6

The structure in POSCAR format:
```
DyHoNb2Ge2
1.0
4.025 0.000 0.000
0.000 4.025 0.000
0.000 0.000 7.828
Dy Ho Nb Ge
1 1 2 2
Direct
0.000 0.000 0.000
0.500 0.500 0.705
0.000 0.500 0.352
0.500 0.000 0.352
0.000 0.000 0.600
0.500 0.500 0.105
```

DFT (PBE) results for a relaxed structure of ZnCu.

Summary:
DFT total energy, eV per atom: -2.557
Energy relative to the elements, eV per atom: -0.07
Calculated density, Mg/m³: 8.4

The structure in POSCAR format:
```
ZnCu
1.0
4.263 0.000 0.000
0.000 6.587 2.274
0.000 -6.587 2.274
Zn Cu
5 5
Direct
0.000 0.000 0.000
0.000 0.196 0.799
0.000 0.799 0.196
0.500 0.145 0.535
0.500 0.535 0.145
0.000 0.403 0.599
0.000 0.599 0.403
0.500 0.342 0.342
0.500 0.738 0.935
0.500 0.935 0.738
```

Question: Among the records above, which one has the lowest calculated density?
Answer: ScInNiSe3

Question: What is the formula in the first record?
Answer: LiAgIr2Se4